Version a
Below is a geometry-optimized TcNiRh2 structure, with properties calculated at the GGA-PBEsol level.

Lattice parameters (Å, degrees): 4.540 4.540 4.540 131.52 131.52 70.98
Positions (direct):
Tc: 0.000 0.000 0.000
Ni: 0.500 0.500 0.000
Rh: 0.250 0.750 0.500
Rh: 0.750 0.250 0.500

Computed properties:
**D(E_F)**: 5.7 states/eV/cell
**Space group**: No. 139

=====

Version b
Below is a geometry-optimized TcNiRh2 structure, with properties calculated at the GGA-PBEsol level.

Lattice parameters (Å, degrees): 2.646 3.715 5.236 90.00 90.00 90.00
Positions (direct):
Tc: 0.000 0.000 0.000
Ni: 0.500 0.500 0.236
Rh: 0.000 0.000 0.474
Rh: 0.500 0.500 0.749

Computed properties:
**D(E_F)**: 5.2 states/eV/cell
**Space group**: No. 25

=====

Version c
Below is a geometry-optimized TcNiRh2 structure, with properties calculated at the GGA-PBEsol level.

Lattice parameters (Å, degrees): 2.655 3.687 5.251 90.00 90.00 90.00
Positions (direct):
Tc: 0.000 0.000 0.000
Ni: 0.000 0.000 0.500
Rh: 0.500 0.500 0.254
Rh: 0.500 0.500 0.746

Computed properties:
**D(E_F)**: 4.2 states/eV/cell
**Space group**: No. 47

=====

Version d
Below is a geometry-optimized TcNiRh2 structure, with properties calculated at the GGA-PBEsol level.

Lattice parameters (Å, degrees): 2.645 2.645 7.343 90.00 90.00 90.00
Positions (direct):
Tc: 0.000 0.000 0.000
Ni: 0.500 0.500 0.235
Rh: 0.000 0.000 0.477
Rh: 0.500 0.500 0.741

Computed properties:
**D(E_F)**: 6.3 states/eV/cell
**Space group**: No. 99

=====

What should be chosen as the most stable of them? Choose version c.

=====

Version a
Below is a geometry-optimized TcNi2Rh structure, with properties calculated at the GGA-PBEsol level.

Lattice parameters (Å, degrees): 4.486 4.486 4.391 100.10 100.10 33.71
Positions (direct):
Tc: 0.000 0.000 0.000
Ni: 0.250 0.250 0.745
Ni: 0.504 0.504 0.513
Rh: 0.754 0.754 0.248

Computed properties:
**D(E_F)**: 4.6 states/eV/cell
**Space group**: No. 8

=====

Version b
Below is a geometry-optimized TcNi2Rh structure, with properties calculated at the GGA-PBEsol level.

Lattice parameters (Å, degrees): 4.518 4.518 4.518 133.30 133.30 68.19
Positions (direct):
Tc: 0.000 0.000 0.000
Ni: 0.250 0.750 0.500
Ni: 0.500 0.500 0.000
Rh: 0.750 0.250 0.500

Computed properties:
**D(E_F)**: 4.2 states/eV/cell
**Space group**: No. 119

=====

Version c
Below is a geometry-optimized TcNi2Rh structure, with properties calculated at the GGA-PBEsol level.

Lattice parameters (Å, degrees): 4.084 4.084 4.084 60.00 60.00 60.00
Positions (direct):
Tc: 0.000 0.000 0.000
Ni: 0.250 0.250 0.250
Ni: 0.750 0.750 0.750
Rh: 0.500 0.500 0.500

Computed properties:
**D(E_F)**: 4.8 states/eV/cell
**Space group**: No. 225

=====

What should be chosen as the most stable of them? Choose version b.

=====

Version a
Below is a geometry-optimized TcNi2Rh structure, with properties calculated at the GGA-PBEsol level.

Lattice parameters (Å, degrees): 2.616 3.639 5.078 90.00 90.00 90.00
Positions (direct):
Tc: 0.000 0.000 0.000
Ni: 0.000 0.000 0.479
Ni: 0.500 0.500 0.249
Rh: 0.500 0.500 0.744

Computed properties:
**D(E_F)**: 3.9 states/eV/cell
**Space group**: No. 25

=====

Version b
Below is a geometry-optimized TcNi2Rh structure, with properties calculated at the GGA-PBEsol level.

Lattice parameters (Å, degrees): 2.617 2.617 7.061 90.00 90.00 90.00
Positions (direct):
Tc: 0.000 0.000 0.000
Ni: 0.000 0.000 0.477
Ni: 0.500 0.500 0.247
Rh: 0.500 0.500 0.732

Computed properties:
**D(E_F)**: 5.9 states/eV/cell
**Space group**: No. 99

=====

What should be chosen as the most stable of them? Choose version a.